Record 1
Density functional theory data (GGA-PBE) for a relaxed AcMgInAu2 crystal. Values from VASP.

The structure in Quantum ESPRESSO input format:
```
&SYSTEM
  ibrav = 0, nat = 5, ntyp = 4
/
ATOMIC_SPECIES
Ac 227.00 Ac.upf
Mg 24.30 Mg.upf
In 114.82 In.upf
Au 196.97 Au.upf
CELL_PARAMETERS angstrom
-1.2047 -3.0027 -2.9627
4.2102 -1.0465 -0.6512
-1.8883 -2.4387 6.4874
ATOMIC_POSITIONS crystal
Ac 0.0000 0.0000 0.0000
Mg 0.2500 0.7500 0.5000
In 0.7500 0.2500 0.5000
Au 0.6094 0.6094 0.2188
Au 0.3906 0.3906 0.7812
```

## Properties
The total energy is -3.6638 eV/atom. Its energy of formation from the pure elements is -0.66 eV per atom.

***

Record 2
Density functional theory data (GGA-PBE) for a relaxed Cd2CuSeI crystal. Values from VASP.

The structure in Quantum ESPRESSO input format:
```
&SYSTEM
  ibrav = 0, nat = 5, ntyp = 4
/
ATOMIC_SPECIES
I 126.90 I.upf
Cu 63.55 Cu.upf
Se 78.96 Se.upf
Cd 112.41 Cd.upf
CELL_PARAMETERS angstrom
-1.3080 5.5473 0.4622
-4.4004 -1.0870 0.5925
0.8289 -0.2754 5.6511
ATOMIC_POSITIONS crystal
I 0.5000 0.5000 0.5000
Cu 0.0000 0.5000 0.0000
Se 0.0000 0.0000 0.0000
Cd 0.0000 0.0000 0.5000
Cd 0.5000 0.0000 0.0000
```

## Properties
The total energy is -2.1658 eV/atom. Its uncorrected formation energy is 13 kJ/mol of formula units.

***

Record 3
Density functional theory data (GGA-PBE) for a relaxed Rb3NbSi crystal. Values from VASP.

The structure in Quantum ESPRESSO input format:
```
&SYSTEM
  ibrav = 0, nat = 5, ntyp = 3
/
ATOMIC_SPECIES
Nb 92.91 Nb.upf
Si 28.09 Si.upf
Rb 85.47 Rb.upf
CELL_PARAMETERS angstrom
-1.3743 0.4651 -6.5732
-0.9368 -6.6602 -0.2754
-6.5227 0.8585 1.4245
ATOMIC_POSITIONS crystal
Nb 0.5000 0.5000 0.5000
Si 0.0000 0.0000 0.0000
Rb 0.0000 0.5000 0.0000
Rb 0.0000 0.0000 0.5000
Rb 0.5000 0.0000 0.0000
```

## Properties
Its relative energy among the computed polymorphs is 0.000 eV/atom. The total energy is -2.2580 eV/atom. Its uncorrected formation energy is 686 kJ/mol of formula units.

***

Record 4
Density functional theory data (GGA-PBE) for a relaxed LaPm6Y5 crystal. Values from VASP.

The structure in Quantum ESPRESSO input format:
```
&SYSTEM
  ibrav = 0, nat = 12, ntyp = 3
/
ATOMIC_SPECIES
La 138.91 La.upf
Pm 145.00 Pm.upf
Y 88.91 Y.upf
CELL_PARAMETERS angstrom
-1.4108 -5.3950 -9.9955
4.2665 -1.4989 -2.4325
1.8615 -7.5109 2.4689
ATOMIC_POSITIONS crystal
La 0.0000 0.0000 0.0000
Pm 0.7481 0.0850 0.3334
Pm 0.2519 0.5816 0.3335
Pm 0.2525 0.2477 0.0000
Pm 0.7475 0.7523 0.0000
Pm 0.7481 0.4184 0.6665
Pm 0.2519 0.9150 0.6666
Y 0.5000 0.1668 0.6665
Y 0.0000 0.3317 0.3365
Y 0.5000 0.5000 0.0000
Y 0.0000 0.6683 0.6635
Y 0.5000 0.8332 0.3335
```

## Properties
The total energy is -5.4617 eV/atom. Its energy of formation from the pure elements is 0.02 eV per atom.

***

Record 5
Density functional theory data (GGA-PBE) for a relaxed LaBeNi2 crystal. Values from VASP.

The structure in Quantum ESPRESSO input format:
```
&SYSTEM
  ibrav = 0, nat = 4, ntyp = 3
/
ATOMIC_SPECIES
Ni 58.69 Ni.upf
Be 9.01 Be.upf
La 138.91 La.upf
CELL_PARAMETERS angstrom
3.0484 0.0000 0.0000
0.0000 3.0484 0.0000
0.0000 0.0000 6.5362
ATOMIC_POSITIONS crystal
Ni 0.0000 0.0000 0.0634
Ni 0.5000 0.5000 0.2811
Be 0.0000 0.0000 0.3944
La 0.5000 0.5000 0.7611
```

## Properties
The total energy is -5.0161 eV/atom. Its energy of formation from the pure elements is 0.04 eV per atom.

***

Record 6
Density functional theory data (GGA-PBE) for a relaxed SnIrRu crystal. Values from VASP.

The structure in Quantum ESPRESSO input format:
```
&SYSTEM
  ibrav = 0, nat = 6, ntyp = 3
/
ATOMIC_SPECIES
Sn 118.71 Sn.upf
Ir 192.22 Ir.upf
Ru 101.07 Ru.upf
CELL_PARAMETERS angstrom
-2.6528 -0.4941 -4.5493
-4.4854 -1.4228 -2.4156
5.8956 8.8566 4.8047
ATOMIC_POSITIONS crystal
Sn 0.1286 0.8228 0.9960
Sn 0.2506 0.8280 0.4372
Ir 0.9923 0.4335 0.3691
Ir 0.3870 0.2173 0.0641
Ru 0.5494 0.6184 0.6839
Ru 0.8299 0.0324 0.7494
```

## Properties
The total energy is -7.3180 eV/atom. Its energy of formation from the pure elements is 0.06 eV per atom.

***

| no. | mass density (g/cm3) | DOS(E_F) (states/eV/f.u.) | V (Å³ per atom) |
| --- | --- | --- | --- |
| 1 | 10.12 | 2.284 | 24.94 |
| 2 | 5.49 | 1.551 | 29.89 |
| 3 | 2.05 | 17.882 | 61.00 |
| 4 | 5.96 | 17.921 | 33.72 |
| 5 | 7.25 | 3.681 | 15.19 |
| 6 | 13.64 | 2.982 | 16.72 |